The following is a DFT calculation (PBE) of a relaxed structure of Cs2KAu3.

The value obtained for the energy relative to the elements is -1.471 eV per formula unit. The volume is 4554.3 Å³ per cell. As for the final energy: -225.7 eV per cell.

The space group is Fd-3m (No. 227, origin choice 2) and the conventional cell measures 16.5758, 16.5758 and 16.5758 Å, with angles of 90.00, 90.00 and 90.00 degrees. The asymmetric unit holds Cs at (0.0162, 0.0162, 0.2338), K at (0.0000, 0.0000, 0.5000) and Au at (0.1043, 0.3750, 0.8750).



The following is a DFT calculation (PBE) of a relaxed structure of Cs12K3Au5.

The value obtained for the energy relative to the elements is -1.840 eV per formula unit. The volume is 13272.3 Å³ per cell. As for the final energy: -254.1 eV per cell.

The space group is Ia-3d (No. 230) and the conventional cell measures 23.6764, 23.6764 and 23.6764 Å, with angles of 90.00, 90.00 and 90.00 degrees. The asymmetric unit holds Cs at (0.0388, 0.0500, 0.6419), K at (0.0000, 0.2500, 0.1250), Au at (0.0000, 0.0000, 0.0000) and Au at (0.0000, 0.2500, 0.3750).



The following is a DFT calculation (PBE) of a relaxed structure of Cs3K2Au4.

The value obtained for the energy relative to the elements is -2.544 eV per formula unit. The volume is 823.3 Å³ per cell. As for the final energy: -40.8 eV per cell.

The space group is C2/m (No. 12) and the conventional cell measures 16.5399, 5.7444 and 8.9933 Å, with angles of 90.00, 105.51 and 90.00 degrees. The asymmetric unit holds Cs at (0.0000, 0.0000, 0.0000), Cs at (0.1142, 0.5000, 0.4072), K at (0.2164, 0.0000, 0.8586), Au at (0.1097, 0.5000, 0.8165) and Au at (0.2158, 0.0000, 0.2486).